1.
A plane-wave DFT calculation with GGA-PBEsol was carried out for a relaxed structure of Ca2MgN2.

Properties
As for the symmetry: No. 14. For the formation energy from raw total energies, the calculation gives -852 meV per atom.

POSCAR file:
```
Ca2MgN2
1.0
6.2464 0.0000 0.0000
0.0000 8.1307 0.0000
-0.7915 0.0000 6.1163
Ca Mg N
8 4 8
direct
0.0684 0.1330 0.1965
0.0684 0.3670 0.6965
0.3340 0.6329 0.9474
0.3340 0.8671 0.4474
0.6660 0.1329 0.5526
0.6660 0.3671 0.0526
0.9316 0.6330 0.3035
0.9316 0.8670 0.8035
0.3725 0.1127 0.8851
0.3725 0.3873 0.3851
0.6275 0.6127 0.6149
0.6275 0.8873 0.1149
0.2698 0.5942 0.5594
0.2698 0.9058 0.0594
0.2794 0.1578 0.5478
0.2794 0.3422 0.0478
0.7206 0.6578 0.9522
0.7206 0.8422 0.4522
0.7302 0.0942 0.9406
0.7302 0.4058 0.4406
```



2.
A plane-wave DFT calculation with GGA-PBEsol was carried out for a relaxed structure of Ca3MgN.

Properties
As for the symmetry: No. 221. For the formation energy from raw total energies, the calculation gives -496 meV per atom.

POSCAR file:
```
Ca3MgN
1.0
4.9551 0.0000 0.0000
0.0000 4.9551 0.0000
0.0000 0.0000 4.9551
Ca Mg N
3 1 1
direct
0.0000 0.0000 0.5000
0.0000 0.5000 0.0000
0.5000 0.0000 0.0000
0.5000 0.5000 0.5000
0.0000 0.0000 0.0000
```



3.
A plane-wave DFT calculation with GGA-PBEsol was carried out for a relaxed structure of CaMgRu2N.

Properties
As for the symmetry: No. 123. For the formation energy from raw total energies, the calculation gives 40 meV per atom.

POSCAR file:
```
CaMgRu2N
1.0
4.1087 0.0000 0.0000
0.0000 4.1087 0.0000
0.0000 0.0000 4.2869
Ca Mg Ru N
1 1 2 1
direct
0.0000 0.0000 0.0000
0.5000 0.5000 0.0000
0.0000 0.5000 0.5000
0.5000 0.0000 0.5000
0.5000 0.5000 0.5000
```



4.
A plane-wave DFT calculation with GGA-PBEsol was carried out for a relaxed structure of CaMg3Nb.

Properties
As for the symmetry: No. 221. The formation energy is 812 kJ/mol of formula units.

POSCAR file:
```
CaMg3Nb
1.0
5.0703 0.0000 0.0000
0.0000 5.0703 0.0000
0.0000 0.0000 5.0703
Ca Mg Nb
1 3 1
direct
0.0000 0.0000 0.0000
0.0000 0.0000 0.5000
0.0000 0.5000 0.0000
0.5000 0.0000 0.0000
0.5000 0.5000 0.5000
```



5.
A plane-wave DFT calculation with GGA-PBEsol was carried out for a relaxed structure of CaMg2NbO.

Properties
As for the symmetry: No. 123. For the formation energy from raw total energies, the calculation gives 574 meV per atom.

POSCAR file:
```
CaMg2NbO
1.0
5.6438 0.0000 0.0000
0.0000 5.6438 0.0000
0.0000 0.0000 3.9250
Ca Mg Nb O
1 2 1 1
direct
0.0000 0.0000 0.0000
0.0000 0.5000 0.0000
0.5000 0.0000 0.0000
0.5000 0.5000 0.5000
0.0000 0.0000 0.5000
```



6.
A plane-wave DFT calculation with GGA-PBEsol was carried out for a relaxed structure of CaMg2TiNb.

Properties
As for the symmetry: No. 123. The formation energy is 318 kJ/mol of formula units.

POSCAR file:
```
CaMg2TiNb
1.0
5.3552 0.0000 0.0000
0.0000 5.3552 0.0000
0.0000 0.0000 4.4697
Ca Mg Ti Nb
1 2 1 1
direct
0.0000 0.0000 0.0000
0.0000 0.5000 0.5000
0.5000 0.0000 0.5000
0.5000 0.5000 0.5000
0.5000 0.5000 0.0000
```



7.
A plane-wave DFT calculation with GGA-PBEsol was carried out for a relaxed structure of Ca2MgNi9.

Properties
As for the symmetry: No. 166. The formation energy is -113 kJ/mol of formula units.

POSCAR file:
```
Ca2MgNi9
1.0
2.4041 1.3880 7.9763
-2.4041 1.3880 7.9763
0.0000 -2.7760 7.9763
Ca Mg Ni
2 1 9
direct
0.1391 0.1391 0.1391
0.8609 0.8609 0.8609
0.0000 0.0000 0.0000
0.0814 0.5798 0.5798
0.3327 0.3327 0.3327
0.4202 0.4202 0.9186
0.4202 0.9186 0.4202
0.5000 0.5000 0.5000
0.5798 0.0814 0.5798
0.5798 0.5798 0.0814
0.6673 0.6673 0.6673
0.9186 0.4202 0.4202
```



8.
A plane-wave DFT calculation with GGA-PBEsol was carried out for a relaxed structure of CaMgNi.

Properties
As for the symmetry: No. 216. The formation energy is 202 kJ/mol of formula units.

POSCAR file:
```
CaMgNi
1.0
0.0000 3.3131 3.3131
3.3131 0.0000 3.3131
3.3131 3.3131 0.0000
Ca Mg Ni
1 1 1
direct
0.0000 0.0000 0.0000
0.7500 0.7500 0.7500
0.2500 0.2500 0.2500
```



9.
A plane-wave DFT calculation with GGA-PBEsol was carried out for a relaxed structure of Ca3Mg2Ni13.

Properties
As for the symmetry: No. 166. The formation energy is -265 kJ/mol of formula units.

POSCAR file:
```
Ca3Mg2Ni13
1.0
2.4230 1.3989 11.8461
-2.4230 1.3989 11.8461
0.0000 -2.7978 11.8461
Ca Mg Ni
3 2 13
direct
0.0000 0.0000 0.0000
0.4573 0.4573 0.4573
0.5427 0.5427 0.5427
0.0918 0.0918 0.0918
0.9082 0.9082 0.9082
0.0000 0.0000 0.5000
0.0000 0.5000 0.0000
0.0530 0.5554 0.5554
0.2228 0.2228 0.2228
0.3340 0.3340 0.3340
0.4446 0.4446 0.9470
0.4446 0.9470 0.4446
0.5000 0.0000 0.0000
0.5554 0.0530 0.5554
0.5554 0.5554 0.0530
0.6660 0.6660 0.6660
0.7772 0.7772 0.7772
0.9470 0.4446 0.4446
```



10.
A plane-wave DFT calculation with GGA-PBEsol was carried out for a relaxed structure of CaMg3Ni.

Properties
As for the symmetry: No. 221. The formation energy is -16 kJ/mol of formula units.

POSCAR file:
```
CaMg3Ni
1.0
4.8721 0.0000 0.0000
0.0000 4.8721 0.0000
0.0000 0.0000 4.8721
Ca Mg Ni
1 3 1
direct
0.0000 0.0000 0.0000
0.0000 0.5000 0.5000
0.5000 0.0000 0.5000
0.5000 0.5000 0.0000
0.5000 0.5000 0.5000
```



11.
A plane-wave DFT calculation with GGA-PBEsol was carried out for a relaxed structure of CaMgNi.

Properties
As for the symmetry: No. 187. The formation energy is 19 kJ/mol of formula units.

POSCAR file:
```
CaMgNi
1.0
4.4119 0.0000 0.0000
-2.2060 3.8208 0.0000
0.0000 0.0000 3.7921
Ca Mg Ni
1 1 1
direct
0.0000 0.0000 0.0000
0.6667 0.3333 0.5000
0.3333 0.6667 0.5000
```



12.
A plane-wave DFT calculation with GGA-PBEsol was carried out for a relaxed structure of CaMg2Ni9.

Properties
As for the symmetry: No. 166. The formation energy is -178 kJ/mol of formula units.

POSCAR file:
```
CaMg2Ni9
1.0
2.3886 1.3790 7.7268
-2.3886 1.3790 7.7268
0.0000 -2.7581 7.7268
Ca Mg Ni
1 2 9
direct
0.0000 0.0000 0.0000
0.1431 0.1431 0.1431
0.8569 0.8569 0.8569
0.0819 0.5859 0.5859
0.3335 0.3335 0.3335
0.4141 0.4141 0.9181
0.4141 0.9181 0.4141
0.5000 0.5000 0.5000
0.5859 0.0819 0.5859
0.5859 0.5859 0.0819
0.6665 0.6665 0.6665
0.9181 0.4141 0.4141
```



13.
A plane-wave DFT calculation with GGA-PBEsol was carried out for a relaxed structure of CaMgNi2.

Properties
As for the symmetry: No. 65. The formation energy is 23 kJ/mol of formula units.

POSCAR file:
```
CaMgNi2
1.0
3.1746 -3.1833 0.0000
3.1746 3.1833 0.0000
0.0000 0.0000 3.1597
Ca Mg Ni
1 1 2
direct
0.0000 0.0000 0.0000
0.5000 0.5000 0.0000
0.0000 0.5000 0.5000
0.5000 0.0000 0.5000
```